Entry 1:
# PBE-GGA Tb2ThPbC, relaxed
data_Tb2ThPbC
_symmetry_space_group_name_H-M 'P 4/m m m'
_symmetry_Int_Tables_number 123
_symmetry_space_group_name_Hall '-P 4 2'
_cell_length_a 4.990
_cell_length_b 4.990
_cell_length_c 5.050
_cell_angle_alpha 90.00
_cell_angle_beta 90.00
_cell_angle_gamma 90.00
loop_
_atom_site_label
_atom_site_type_symbol
_atom_site_fract_x
_atom_site_fract_y
_atom_site_fract_z
Tb1 Tb 0.000 0.500 0.000
Th1 Th 0.000 0.000 0.500
Pb1 Pb 0.500 0.500 0.500
C1 C 0.000 0.000 0.000
# Formation enthalpy at 0 K in eV/f.u.: -2.1

***

Entry 2:
# PBE-GGA Pr6In2Rh, relaxed
data_Pr6In2Rh
_symmetry_space_group_name_H-M 'P -6 2 m'
_symmetry_Int_Tables_number 189
_symmetry_space_group_name_Hall 'P -6 -2'
_cell_length_a 9.0186
_cell_length_b 9.0186
_cell_length_c 3.9058
_cell_angle_alpha 90.00
_cell_angle_beta 90.00
_cell_angle_gamma 120.00
loop_
_atom_site_label
_atom_site_type_symbol
_atom_site_fract_x
_atom_site_fract_y
_atom_site_fract_z
Pr1 Pr 0.0000 0.3990 0.0000
Pr2 Pr 0.0000 0.7570 0.5000
In1 In 0.3333 0.6667 0.5000
Rh1 Rh 0.0000 0.0000 0.0000
# Formation enthalpy at 0 K in eV/f.u.: -3.6

***

Entry 3:
# PBE-GGA ZrNbTeBr2, relaxed
data_ZrNbTeBr2
_symmetry_space_group_name_H-M 'P 4/m m m'
_symmetry_Int_Tables_number 123
_symmetry_space_group_name_Hall '-P 4 2'
_cell_length_a 5.074
_cell_length_b 5.074
_cell_length_c 5.704
_cell_angle_alpha 90.00
_cell_angle_beta 90.00
_cell_angle_gamma 90.00
loop_
_atom_site_label
_atom_site_type_symbol
_atom_site_fract_x
_atom_site_fract_y
_atom_site_fract_z
Zr1 Zr 0.000 0.000 0.000
Nb1 Nb 0.500 0.500 0.500
Te1 Te 0.500 0.500 0.000
Br1 Br 0.000 0.500 0.500
# Raw formation energy in kJ/mol of formula units: 156

***

Entry 4:
# PBE-GGA NaInCo2Cl, relaxed
data_NaInCo2Cl
_symmetry_space_group_name_H-M 'P 4/m m m'
_symmetry_Int_Tables_number 123
_symmetry_space_group_name_Hall '-P 4 2'
_cell_length_a 5.136
_cell_length_b 5.136
_cell_length_c 4.859
_cell_angle_alpha 90.00
_cell_angle_beta 90.00
_cell_angle_gamma 90.00
loop_
_atom_site_label
_atom_site_type_symbol
_atom_site_fract_x
_atom_site_fract_y
_atom_site_fract_z
Na1 Na 0.000 0.000 0.000
In1 In 0.500 0.500 0.500
Co1 Co 0.000 0.500 0.000
Cl1 Cl 0.000 0.000 0.500
# Raw formation energy in kJ/mol of formula units: 530

***

Entry 5:
# PBE-GGA Na2MgGe, relaxed
data_Na2MgGe
_symmetry_space_group_name_H-M 'I -4 2 d'
_symmetry_Int_Tables_number 122
_symmetry_space_group_name_Hall 'I -4 2bw'
_cell_length_a 11.570
_cell_length_b 11.570
_cell_length_c 4.993
_cell_angle_alpha 90.00
_cell_angle_beta 90.00
_cell_angle_gamma 90.00
loop_
_atom_site_label
_atom_site_type_symbol
_atom_site_fract_x
_atom_site_fract_y
_atom_site_fract_z
Na1 Na 0.013 0.750 0.125
Mg1 Mg 0.000 0.000 0.500
Ge1 Ge 0.000 0.000 0.000
# Formation enthalpy at 0 K in eV/f.u.: 0.3

***

Entry 6:
# PBE-GGA Y3Be4Co4, relaxed
data_Y3Be4Co4
_symmetry_space_group_name_H-M 'I -4 3 m'
_symmetry_Int_Tables_number 217
_symmetry_space_group_name_Hall 'I -4 2 3'
_cell_length_a 6.870
_cell_length_b 6.870
_cell_length_c 6.870
_cell_angle_alpha 90.00
_cell_angle_beta 90.00
_cell_angle_gamma 90.00
loop_
_atom_site_label
_atom_site_type_symbol
_atom_site_fract_x
_atom_site_fract_y
_atom_site_fract_z
Y1 Y 0.000 0.000 0.500
Be1 Be 0.190 0.190 0.190
Co1 Co 0.126 0.126 0.874
# Formation enthalpy at 0 K in eV/f.u.: -2.1

***

Entry 7:
# PBE-GGA TaCuGe2, relaxed
data_TaCuGe2
_symmetry_space_group_name_H-M 'F m -3 m'
_symmetry_Int_Tables_number 225
_symmetry_space_group_name_Hall '-F 4 2 3'
_cell_length_a 6.375
_cell_length_b 6.375
_cell_length_c 6.375
_cell_angle_alpha 90.00
_cell_angle_beta 90.00
_cell_angle_gamma 90.00
loop_
_atom_site_label
_atom_site_type_symbol
_atom_site_fract_x
_atom_site_fract_y
_atom_site_fract_z
Ta1 Ta 0.000 0.000 0.000
Cu1 Cu 0.000 0.000 0.500
Ge1 Ge 0.250 0.250 0.250
# Formation enthalpy at 0 K in eV/f.u.: 1.3

***

Entry 8:
# PBE-GGA Mg3Zn4Ga2, relaxed
data_Mg3Zn4Ga2
_symmetry_space_group_name_H-M 'C 1 2/m 1'
_symmetry_Int_Tables_number 12
_symmetry_space_group_name_Hall '-C 2y'
_cell_length_a 9.870
_cell_length_b 4.319
_cell_length_c 8.505
_cell_angle_alpha 90.00
_cell_angle_beta 118.19
_cell_angle_gamma 90.00
loop_
_atom_site_label
_atom_site_type_symbol
_atom_site_fract_x
_atom_site_fract_y
_atom_site_fract_z
Mg1 Mg 0.000 0.000 0.000
Mg2 Mg 0.163 0.500 0.676
Zn1 Zn 0.074 0.000 0.410
Zn2 Zn 0.210 0.500 0.042
Ga1 Ga 0.113 0.500 0.276
# Formation enthalpy at 0 K in eV/f.u.: -0.9

***

Listing calculated volume for the structures above in their given order: 25.15 30.57 29.38 25.63 41.77 14.74 16.19 17.75 A^3/atom.
Listing total magnetic moment for the structures above in their given order: 0.00 0.00 4.11 4.58 0.00 0.00 0.00 0.00 μB/f.u..
Listing raw total energy for the structures above in their given order: -31.72 -45.09 -23.48 -14.63 -8.50 -64.77 -23.91 -16.82 eV per formula unit.